--- A ---
## Pr3Nd3Sm (PBE)

Data for a relaxed structure of Pr3Nd3Sm.

## Properties
As for the space group: No. 176.

Lattice parameters (Å, degrees): 5.9601 9.8625 9.8625 120.00 90.00 90.00
Closest atoms and distances in Å follow each position.
Fractional positions:
Pr1 0.2500 0.5245 0.9049  5 Nd 3.67-3.73, 3 Sm 3.68-3.73, 4 Pr 3.68-3.73
Pr2 0.7500 0.9049 0.3804  5 Nd 3.67-3.73, 3 Sm 3.68-3.73, 4 Pr 3.68-3.73
Pr3 0.7500 0.6196 0.5245  5 Nd 3.67-3.73, 3 Sm 3.68-3.73, 4 Pr 3.68-3.73
Sm1 0.2500 0.6667 0.3333  9 Pr 3.68-3.73, 3 Nd 3.73
Pr4 0.2500 0.0951 0.6196  5 Nd 3.67-3.73, 3 Sm 3.68-3.73, 4 Pr 3.68-3.73
Pr5 0.2500 0.3804 0.4755  5 Nd 3.67-3.73, 3 Sm 3.68-3.73, 4 Pr 3.68-3.73
Nd1 0.7500 0.7622 0.9536  5 Pr 3.67-3.73, 6 Nd 3.68-3.73, 1 Sm 3.73
Nd2 0.2500 0.8086 0.7622  5 Pr 3.67-3.73, 6 Nd 3.68-3.73, 1 Sm 3.73
Nd3 0.2500 0.9536 0.1914  5 Pr 3.67-3.73, 6 Nd 3.68-3.73, 1 Sm 3.73
Nd4 0.2500 0.2378 0.0464  5 Pr 3.67-3.73, 6 Nd 3.68-3.73, 1 Sm 3.73
Sm2 0.7500 0.3333 0.6667  9 Pr 3.68-3.73, 3 Nd 3.73
Nd5 0.7500 0.1914 0.2378  5 Pr 3.67-3.73, 6 Nd 3.68-3.73, 1 Sm 3.73
Nd6 0.7500 0.0464 0.8086  5 Pr 3.67-3.73, 6 Nd 3.68-3.73, 1 Sm 3.73
Pr6 0.7500 0.4755 0.0951  5 Nd 3.67-3.73, 3 Sm 3.68-3.73, 4 Pr 3.68-3.73


--- B ---
## Pr3Nd3Sm (PBE)

Data for a relaxed structure of Pr3Nd3Sm.

## Properties
As for the space group: No. 148.

Lattice parameters (Å, degrees): 9.0760 9.0760 9.0760 58.75 58.75 58.75
Closest atoms and distances in Å follow each position.
Fractional positions:
Sm1 0.3461 0.3461 0.3461  6 Nd 3.61-3.85, 6 Pr 3.74-3.85
Nd1 0.1803 0.9381 0.7071  4 Pr 3.35-3.73, 4 Nd 3.35-3.65, 1 Sm 3.61
Pr1 0.5665 0.0694 0.7203  4 Nd 3.35-3.73, 2 Pr 3.72, 1 Sm 3.74
Pr2 0.2797 0.4335 0.9306  4 Nd 3.35-3.73, 2 Pr 3.72, 1 Sm 3.74
Sm2 0.6539 0.6539 0.6539  6 Nd 3.61-3.85, 6 Pr 3.74-3.85
Nd2 0.8197 0.0619 0.2929  4 Pr 3.35-3.73, 4 Nd 3.35-3.65, 1 Sm 3.61
Nd3 0.9381 0.7071 0.1803  4 Pr 3.35-3.73, 4 Nd 3.35-3.65, 1 Sm 3.61
Pr3 0.7203 0.5665 0.0694  4 Nd 3.35-3.73, 2 Pr 3.72, 1 Sm 3.74
Nd4 0.0619 0.2929 0.8197  4 Pr 3.35-3.73, 4 Nd 3.35-3.65, 1 Sm 3.61
Nd5 0.7071 0.1803 0.9381  4 Pr 3.35-3.73, 4 Nd 3.35-3.65, 1 Sm 3.61
Pr4 0.9306 0.2797 0.4335  4 Nd 3.35-3.73, 2 Pr 3.72, 1 Sm 3.74
Nd6 0.2929 0.8197 0.0619  4 Pr 3.35-3.73, 4 Nd 3.35-3.65, 1 Sm 3.61
Pr5 0.4335 0.9306 0.2797  4 Nd 3.35-3.73, 2 Pr 3.72, 1 Sm 3.74
Pr6 0.0694 0.7203 0.5665  4 Nd 3.35-3.73, 2 Pr 3.72, 1 Sm 3.74


A wins, 173 meV per atom ahead of the next structure.


--- A ---
## Pr5Nd4Sm2 (PBE)

Data for a relaxed structure of Pr5Nd4Sm2.

## Properties
As for the space group: No. 71.

Lattice parameters (Å, degrees): 3.5832 9.5344 12.8662 111.75 98.00 90.00
Closest atoms and distances in Å follow each position.
Fractional positions:
Sm1 0.2700 0.2700 0.5400  1 Nd 3.18, 2 Pr 3.45
Sm2 0.7300 0.7300 0.4600  1 Nd 3.18, 2 Pr 3.45
Pr1 0.5000 0.0000 0.0000  4 Nd 3.37, 2 Pr 3.58
Nd1 0.5954 0.5954 0.1908  1 Sm 3.18, 4 Nd 3.46
Nd2 0.0000 0.2996 0.0000  4 Pr 3.37-3.64, 6 Nd 3.46-3.58
Pr2 0.1487 0.9473 0.2974  1 Sm 3.45, 3 Pr 3.58-3.84, 3 Nd 3.59-3.64
Pr3 0.8513 0.6499 0.7026  1 Sm 3.45, 3 Pr 3.58-3.84, 3 Nd 3.59-3.64
Nd3 0.0000 0.7004 0.0000  4 Pr 3.37-3.64, 6 Nd 3.46-3.58
Pr4 0.1487 0.3501 0.2974  1 Sm 3.45, 3 Pr 3.58-3.84, 3 Nd 3.59-3.64
Nd4 0.4046 0.4046 0.8092  1 Sm 3.18, 4 Nd 3.46
Pr5 0.8513 0.0527 0.7026  1 Sm 3.45, 3 Pr 3.58-3.84, 3 Nd 3.59-3.64


--- B ---
## Pr5Nd4Sm2 (PBE)

Data for a relaxed structure of Pr5Nd4Sm2.

## Properties
As for the space group: No. 12.

Lattice parameters (Å, degrees): 3.5409 9.0530 12.4321 96.82 98.19 90.00
Closest atoms and distances in Å follow each position.
Fractional positions:
Sm1 0.0903 0.7318 0.1806  2 Nd 3.36-3.39, 2 Pr 3.45-3.54, 2 Sm 3.54
Nd1 0.6775 0.4721 0.3549  6 Nd 3.54-3.96, 5 Pr 3.70-3.73, 2 Sm 3.80
Nd2 0.3225 0.5279 0.6451  6 Nd 3.54-3.96, 5 Pr 3.70-3.73, 2 Sm 3.80
Sm2 0.9097 0.2682 0.8194  2 Nd 3.36-3.39, 2 Pr 3.45-3.54, 2 Sm 3.54
Nd3 0.0459 0.3629 0.0918  2 Sm 3.36-3.39, 1 Pr 3.42, 5 Nd 3.54-3.72
Pr1 0.8596 0.8852 0.7191  3 Nd 3.42-3.70, 1 Sm 3.54, 5 Pr 3.54-3.65
Nd4 0.9541 0.6371 0.9082  2 Sm 3.36-3.39, 1 Pr 3.42, 5 Nd 3.54-3.72
Pr2 0.5000 0.0000 0.0000  6 Pr 3.54-3.91, 4 Nd 3.78, 4 Sm 3.91
Pr3 0.1404 0.1148 0.2809  3 Nd 3.42-3.70, 1 Sm 3.54, 5 Pr 3.54-3.65
Pr4 0.7695 0.1770 0.5390  1 Sm 3.45, 7 Pr 3.54-3.69, 3 Nd 3.70-3.73
Pr5 0.2305 0.8230 0.4610  1 Sm 3.45, 7 Pr 3.54-3.69, 3 Nd 3.70-3.73


B wins, 77 meV per atom ahead of the next structure.


--- A ---
## Pr2Nd4Sm5 (PBE)

Data for a relaxed structure of Pr2Nd4Sm5.

## Properties
As for the space group: No. 71.

Lattice parameters (Å, degrees): 3.5712 9.3903 12.8165 111.49 98.01 90.00
Closest atoms and distances in Å follow each position.
Fractional positions:
Sm1 0.1447 0.9490 0.2894  1 Pr 3.46, 3 Nd 3.55-3.56, 3 Sm 3.57-3.67
Nd1 0.0000 0.7008 0.0000  4 Sm 3.33-3.55, 6 Nd 3.44-3.57
Sm2 0.8553 0.0510 0.7106  1 Pr 3.46, 3 Nd 3.55-3.56, 3 Sm 3.57-3.67
Nd2 0.4040 0.4040 0.8080  1 Pr 3.18, 4 Nd 3.44, 4 Sm 3.56
Pr1 0.7309 0.7309 0.4619  1 Nd 3.18, 2 Sm 3.46
Sm3 0.1447 0.3404 0.2894  1 Pr 3.46, 3 Nd 3.55-3.56, 3 Sm 3.57-3.67
Nd3 0.5960 0.5960 0.1920  1 Pr 3.18, 4 Nd 3.44, 4 Sm 3.56
Sm4 0.5000 0.0000 0.0000  4 Nd 3.33, 2 Sm 3.57
Nd4 0.0000 0.2992 0.0000  4 Sm 3.33-3.55, 6 Nd 3.44-3.57
Pr2 0.2691 0.2691 0.5381  1 Nd 3.18, 2 Sm 3.46
Sm5 0.8553 0.6596 0.7106  1 Pr 3.46, 3 Nd 3.55-3.56, 3 Sm 3.57-3.67


--- B ---
## Pr2Nd4Sm5 (PBE)

Data for a relaxed structure of Pr2Nd4Sm5.

## Properties
As for the space group: No. 12.

Lattice parameters (Å, degrees): 3.5147 8.9878 12.3689 96.56 98.17 90.00
Closest atoms and distances in Å follow each position.
Fractional positions:
Sm1 0.8585 0.8841 0.7171  3 Nd 3.38-3.66, 1 Pr 3.50, 5 Sm 3.51-3.61
Pr1 0.9098 0.2645 0.8197  2 Nd 3.35-3.42, 2 Sm 3.47-3.50, 2 Pr 3.51
Nd1 0.3212 0.5296 0.6424  6 Nd 3.51-3.89, 5 Sm 3.64-3.75, 2 Pr 3.83
Sm2 0.7680 0.1733 0.5361  1 Pr 3.47, 7 Sm 3.51-3.61, 3 Nd 3.64-3.75
Pr2 0.0902 0.7355 0.1803  2 Nd 3.35-3.42, 2 Sm 3.47-3.50, 2 Pr 3.51
Sm3 0.5000 0.0000 0.0000  6 Sm 3.51-3.92, 4 Nd 3.74, 4 Pr 3.85
Nd2 0.0464 0.3602 0.0927  2 Pr 3.35-3.42, 3 Sm 3.38-3.74, 5 Nd 3.51-3.72
Nd3 0.6788 0.4704 0.3576  6 Nd 3.51-3.89, 5 Sm 3.64-3.75, 2 Pr 3.83
Nd4 0.9536 0.6398 0.9073  2 Pr 3.35-3.42, 3 Sm 3.38-3.74, 5 Nd 3.51-3.72
Sm4 0.2320 0.8267 0.4639  1 Pr 3.47, 7 Sm 3.51-3.61, 3 Nd 3.64-3.75
Sm5 0.1415 0.1159 0.2829  3 Nd 3.38-3.66, 1 Pr 3.50, 5 Sm 3.51-3.61


B wins, 82 meV per atom ahead of the next structure.


--- A ---
## Pr4NdSm3 (PBE)

Data for a relaxed structure of Pr4NdSm3.

## Properties
As for the space group: No. 31.

Lattice parameters (Å, degrees): 6.4122 7.4186 11.9355 90.00 90.00 90.00
Closest atoms and distances in Å follow each position.
Fractional positions:
Sm1 0.6487 0.3770 0.2500  4 Sm 3.66-3.69, 2 Nd 3.66, 6 Pr 3.67-3.74
Pr1 0.4810 0.1271 0.0000  4 Sm 3.67-3.74, 6 Pr 3.68-3.73, 2 Nd 3.70-3.71
Sm2 0.9804 0.3768 0.5000  4 Sm 3.66, 6 Pr 3.67-3.74, 2 Nd 3.69
Nd1 0.4800 0.6232 0.5000  6 Sm 3.66-3.69, 6 Pr 3.68-3.74
Pr2 0.9810 0.8729 0.5000  4 Sm 3.67-3.74, 6 Pr 3.68-3.73, 2 Nd 3.70-3.71
Sm3 0.4804 0.6232 0.0000  4 Sm 3.66, 6 Pr 3.67-3.74, 2 Nd 3.69
Sm4 0.6487 0.3770 0.7500  4 Sm 3.66-3.69, 2 Nd 3.66, 6 Pr 3.67-3.74
Pr3 0.9824 0.8729 0.0000  6 Pr 3.67-3.73, 4 Sm 3.67-3.71, 2 Nd 3.68-3.74
Pr4 0.1470 0.1265 0.2508  5 Sm 3.67-3.74, 6 Pr 3.67-3.72, 1 Nd 3.68
Sm5 0.1487 0.6230 0.7500  4 Sm 3.66-3.69, 2 Nd 3.66, 6 Pr 3.67-3.74
Sm6 0.1487 0.6230 0.2500  4 Sm 3.66-3.69, 2 Nd 3.66, 6 Pr 3.67-3.74
Pr5 0.6470 0.8735 0.7508  5 Sm 3.67-3.74, 6 Pr 3.67-3.72, 1 Nd 3.68
Pr6 0.6470 0.8735 0.2492  5 Sm 3.67-3.74, 6 Pr 3.67-3.72, 1 Nd 3.68
Pr7 0.4824 0.1271 0.5000  6 Pr 3.67-3.73, 4 Sm 3.67-3.71, 2 Nd 3.68-3.74
Nd2 0.9800 0.3768 0.0000  6 Sm 3.66-3.69, 6 Pr 3.68-3.74
Pr8 0.1470 0.1265 0.7492  5 Sm 3.67-3.74, 6 Pr 3.67-3.72, 1 Nd 3.68


--- B ---
## Pr4NdSm3 (PBE)

Data for a relaxed structure of Pr4NdSm3.

## Properties
As for the space group: No. 53.

Lattice parameters (Å, degrees): 7.3504 7.3496 10.4143 90.00 90.00 90.00
Closest atoms and distances in Å follow each position.
Fractional positions:
Pr1 0.7507 0.0605 0.7498  6 Sm 3.66-3.69, 4 Pr 3.68, 2 Nd 3.68
Sm1 0.7508 0.5605 0.2499  8 Pr 3.66-3.69, 2 Sm 3.68, 2 Nd 3.68
Pr2 0.7507 0.0605 0.2502  6 Sm 3.66-3.69, 4 Pr 3.68, 2 Nd 3.68
Pr3 0.5002 0.3104 0.0000  2 Nd 3.67-3.68, 6 Sm 3.67-3.68, 4 Pr 3.68
Sm2 0.2492 0.0605 0.7499  8 Pr 3.66-3.69, 2 Sm 3.68, 2 Nd 3.68
Nd1 0.4998 0.3108 0.5000  8 Pr 3.67-3.68, 4 Sm 3.68
Sm3 0.0000 0.3105 0.0000  8 Pr 3.67-3.68, 4 Sm 3.68
Sm4 0.0000 0.8105 0.5000  8 Pr 3.67-3.68, 4 Sm 3.68
Sm5 0.7508 0.5605 0.7501  8 Pr 3.66-3.69, 2 Sm 3.68, 2 Nd 3.68
Pr4 0.2493 0.5605 0.2498  6 Sm 3.66-3.69, 4 Pr 3.68, 2 Nd 3.68
Pr5 0.0000 0.3109 0.5000  6 Sm 3.67-3.68, 2 Nd 3.67-3.68, 4 Pr 3.68
Sm6 0.2492 0.0605 0.2501  8 Pr 3.66-3.69, 2 Sm 3.68, 2 Nd 3.68
Pr6 0.0000 0.8109 0.0000  6 Sm 3.67-3.68, 2 Nd 3.67-3.68, 4 Pr 3.68
Pr7 0.4998 0.8104 0.5000  2 Nd 3.67-3.68, 6 Sm 3.67-3.68, 4 Pr 3.68
Pr8 0.2493 0.5605 0.7502  6 Sm 3.66-3.69, 4 Pr 3.68, 2 Nd 3.68
Nd2 0.5002 0.8108 0.0000  8 Pr 3.67-3.68, 4 Sm 3.68


B wins, 19 meV per atom ahead of the next structure.


--- A ---
## Pr2NdSm8 (PBE)

Data for a relaxed structure of Pr2NdSm8.

## Properties
As for the space group: No. 12.

Lattice parameters (Å, degrees): 5.1608 8.1642 9.6431 104.68 105.52 90.00
Closest atoms and distances in Å follow each position.
Fractional positions:
Sm1 0.4098 0.5454 0.8196  8 Sm 3.62-3.66, 1 Nd 3.65, 3 Pr 3.66
Sm2 0.6816 0.9085 0.3632  1 Nd 3.64, 3 Pr 3.64-3.65, 8 Sm 3.64-3.65
Sm3 0.0449 0.7270 0.0897  9 Sm 3.63-3.65, 2 Nd 3.65, 1 Pr 3.65
Pr1 0.7728 0.3629 0.5455  10 Sm 3.64-3.67, 2 Pr 3.66
Sm4 0.9551 0.2730 0.9103  9 Sm 3.63-3.65, 2 Nd 3.65, 1 Pr 3.65
Sm5 0.3184 0.0915 0.6368  1 Nd 3.64, 3 Pr 3.64-3.65, 8 Sm 3.64-3.65
Sm6 0.5902 0.4546 0.1804  8 Sm 3.62-3.66, 1 Nd 3.65, 3 Pr 3.66
Pr2 0.2272 0.6371 0.4545  10 Sm 3.64-3.67, 2 Pr 3.66
Sm7 0.1359 0.1800 0.2718  7 Sm 3.63-3.66, 2 Nd 3.64, 3 Pr 3.65-3.67
Nd1 0.5000 0.0000 0.0000  12 Sm 3.64-3.65
Sm8 0.8641 0.8200 0.7282  7 Sm 3.63-3.66, 2 Nd 3.64, 3 Pr 3.65-3.67


--- B ---
## Pr2NdSm8 (PBE)

Data for a relaxed structure of Pr2NdSm8.

## Properties
As for the space group: No. 12.

Lattice parameters (Å, degrees): 6.7270 9.3269 9.3269 42.39 77.04 77.04
Closest atoms and distances in Å follow each position.
Fractional positions:
Sm1 0.6771 0.6437 0.1655  5 Sm 3.22-3.59, 1 Nd 3.51
Pr1 0.6460 0.2020 0.2020  4 Sm 3.33-3.63
Sm2 0.3229 0.8345 0.3563  5 Sm 3.22-3.59, 1 Nd 3.51
Sm3 0.9071 0.7478 0.7478  5 Sm 3.29-3.60, 2 Pr 3.33-3.61
Sm4 0.6771 0.1655 0.6437  5 Sm 3.22-3.59, 1 Nd 3.51
Sm5 0.1955 0.4276 0.4276  4 Sm 3.17-3.55
Sm6 0.0929 0.2522 0.2522  5 Sm 3.29-3.60, 2 Pr 3.33-3.61
Sm7 0.3229 0.3563 0.8345  5 Sm 3.22-3.59, 1 Nd 3.51
Nd1 0.0000 0.0000 0.0000  8 Sm 3.51-3.73, 2 Pr 3.74
Pr2 0.3540 0.7980 0.7980  4 Sm 3.33-3.63
Sm8 0.8045 0.5724 0.5724  4 Sm 3.17-3.55


A wins, 145 meV per atom ahead of the next structure.